VASP calculation (PBE-GGA) on BaScAs2 after structural relaxation.

Computed properties:
As for the density of states at the Fermi level: 3.6 states/eV/cell. The spin magnetization comes out at 0.0 μB per cell. As for the excess energy over the best structure of this formula in the dataset: 0.5211 eV/atom. The calculation puts the total energy at -4.8995 eV/atom. The calculation puts the energy of formation from the pure elements at -511.2 meV/atom.

Unit cell a=4.369 b=4.369 c=10.977 alpha=90.00 beta=90.00 gamma=90.00
Space group I-4m2 (No. 119)
Inequivalent atoms, fractional coordinates:
Ba 0.000 0.000 0.000 [2 per cell]
Sc 0.000 0.500 0.750 [2 per cell]
As 0.000 0.000 0.500 [2 per cell]
As 0.000 0.500 0.250 [2 per cell]


VASP calculation (PBE-GGA) on BaPuCuN3 after structural relaxation.

Computed properties:
As for the density of states at the Fermi level: 9.6 states/eV/cell. The formation energy without anion corrections comes out at -547 meV/atom. The spin magnetization comes out at 4.0 μB per cell. The calculation puts the total energy at -8.1015 eV/atom.

Unit cell a=7.495 b=3.636 c=7.705 alpha=90.00 beta=108.75 gamma=90.00
Space group P2_1/m (No. 11)
Inequivalent atoms, fractional coordinates:
Ba 0.243 0.250 0.272 [2 per cell]
Pu 0.345 0.250 0.823 [2 per cell]
Cu 0.109 0.750 0.552 [2 per cell]
N 0.058 0.250 0.706 [2 per cell]
N 0.369 0.750 0.036 [2 per cell]
N 0.377 0.750 0.660 [2 per cell]


VASP calculation (PBE-GGA) on TbNd2Tl2 after structural relaxation.

Computed properties:
As for the density of states at the Fermi level: 11.3 states/eV/cell. The spin magnetization comes out at 0.0 μB per cell. As for the excess energy over the best structure of this formula in the dataset: 0.0041 eV/atom. The calculation puts the total energy at -4.0673 eV/atom. The calculation puts the energy of formation from the pure elements at -287.6 meV/atom.

Unit cell a=4.937 b=7.106 c=8.878 alpha=90.00 beta=90.00 gamma=90.00
Space group Immm (No. 71)
Inequivalent atoms, fractional coordinates:
Tb 0.000 0.000 0.000 [2 per cell]
Nd 0.000 0.500 0.192 [4 per cell]
Tl 0.000 0.219 0.500 [4 per cell]


VASP calculation (PBE-GGA) on K2InP after structural relaxation.

Computed properties:
As for the density of states at the Fermi level: 0.0 states/eV/cell. The spin magnetization comes out at 0.0 μB per cell. As for the excess energy over the best structure of this formula in the dataset: 0.3148 eV/atom. The calculation puts the total energy at -2.5393 eV/atom. The calculation puts the energy of formation from the pure elements at 46.5 meV/atom.

Unit cell a=7.907 b=7.907 c=7.907 alpha=90.00 beta=90.00 gamma=90.00
Space group Fm-3m (No. 225)
Inequivalent atoms, fractional coordinates:
K 0.250 0.250 0.250 [8 per cell]
In 0.000 0.000 0.000 [4 per cell]
P 0.000 0.000 0.500 [4 per cell]